Compound: SbW3
Source: Alexandria
Functional: GGA-PBE
Structure: optimized geometry

Calculated values
- raw formation energy (eV per atom) = 0.75
- E above lowest polymorph (meV per atom) = 268

a b c (Å): 4.101 4.101 4.101
angles (deg): 90.00 90.00 90.00
Fractional coordinates of all 4 atoms:
Sb (0.000, 0.000, 0.000)
W (0.000, 0.500, 0.500)
W (0.500, 0.000, 0.500)
W (0.500, 0.500, 0.000)


Compound: Ba2HgBr
Source: Alexandria
Functional: GGA-PBE
Structure: optimized geometry

Calculated values
- raw formation energy (eV per atom) = -1.00
- E above lowest polymorph (meV per atom) = 28

a b c (Å): 9.429 9.429 9.429
angles (deg): 28.60 28.60 28.60
Fractional coordinates of all 4 atoms:
Ba (0.000, 0.000, 0.000)
Ba (0.176, 0.176, 0.176)
Hg (0.587, 0.587, 0.587)
Br (0.756, 0.756, 0.756)